Entry 1:
## TaCuPtPb (PBE)

Data for a relaxed TaCuPtPb crystal.

Relative energy among the computed polymorphs in meV/atom: 15.7
Uncorrected energy in eV per atom: -6.091
Crystal system: cubic

Unit cell a=6.596 b=6.596 c=6.596 alpha=90.00 beta=90.00 gamma=90.00
Space group F-43m (No. 216)
Symmetry-distinct sites (fractional):
Ta (0.000, 0.000, 0.000) x4
Cu (0.250, 0.250, 0.750) x4
Pt (0.250, 0.250, 0.250) x4
Pb (0.000, 0.000, 0.500) x4

Entry 2:
## TlCuPtPb (PBE)

Data for a relaxed TlCuPtPb crystal.

Relative energy among the computed polymorphs in meV/atom: 0.0
Uncorrected energy in eV per atom: -3.784
Crystal system: cubic

Unit cell a=6.915 b=6.915 c=6.915 alpha=90.00 beta=90.00 gamma=90.00
Space group F-43m (No. 216)
Symmetry-distinct sites (fractional):
Tl (0.000, 0.000, 0.000) x4
Cu (0.250, 0.250, 0.250) x4
Pt (0.250, 0.250, 0.750) x4
Pb (0.000, 0.000, 0.500) x4

Entry 3:
## CuPtPbW (PBE)

Data for a relaxed CuPtPbW crystal.

Relative energy among the computed polymorphs in meV/atom: 0.0
Uncorrected energy in eV per atom: -6.021
Crystal system: cubic

Unit cell a=6.524 b=6.524 c=6.524 alpha=90.00 beta=90.00 gamma=90.00
Space group F-43m (No. 216)
Symmetry-distinct sites (fractional):
Cu (0.000, 0.000, 0.000) x4
Pt (0.250, 0.250, 0.250) x4
Pb (0.250, 0.250, 0.750) x4
W (0.000, 0.000, 0.500) x4

Entry 4:
## CuPtPbW (PBE)

Data for a relaxed CuPtPbW crystal.

Relative energy among the computed polymorphs in meV/atom: 83.1
Uncorrected energy in eV per atom: -5.938
Crystal system: cubic

Unit cell a=6.542 b=6.542 c=6.542 alpha=90.00 beta=90.00 gamma=90.00
Space group F-43m (No. 216)
Symmetry-distinct sites (fractional):
Cu (0.000, 0.000, 0.000) x4
Pt (0.000, 0.000, 0.500) x4
Pb (0.250, 0.250, 0.750) x4
W (0.250, 0.250, 0.250) x4

Entry 5:
## RbCuPb (PBE)

Data for a relaxed RbCuPb crystal.

Relative energy among the computed polymorphs in meV/atom: 0.0
Uncorrected energy in eV per atom: -2.326
Crystal system: cubic

Unit cell a=7.323 b=7.323 c=7.323 alpha=90.00 beta=90.00 gamma=90.00
Space group F-43m (No. 216)
Symmetry-distinct sites (fractional):
Rb (0.000, 0.000, 0.000) x4
Cu (0.250, 0.250, 0.750) x4
Pb (0.000, 0.000, 0.500) x4

Entry 6:
## RbCuPb (PBE)

Data for a relaxed RbCuPb crystal.

Relative energy among the computed polymorphs in meV/atom: 521.4
Uncorrected energy in eV per atom: -1.804
Crystal system: cubic

Unit cell a=7.736 b=7.736 c=7.736 alpha=90.00 beta=90.00 gamma=90.00
Space group F-43m (No. 216)
Symmetry-distinct sites (fractional):
Rb (0.000, 0.000, 0.000) x4
Cu (0.250, 0.250, 0.750) x4
Pb (0.250, 0.250, 0.250) x4

Entry 7:
## RbCuPbSe2S (PBE)

Data for a relaxed RbCuPbSe2S crystal.

Uncorrected energy in eV per atom: -3.719
Crystal system: orthorhombic

Unit cell a=4.179 b=13.379 c=11.351 alpha=90.00 beta=90.00 gamma=90.00
Space group Cmcm (No. 63)
Symmetry-distinct sites (fractional):
Rb (0.000, 0.215, 0.250) x4
Cu (0.000, 0.069, 0.750) x4
Pb (0.000, 0.500, 0.000) x4
Se (0.000, 0.148, 0.552) x8
S (0.000, 0.489, 0.750) x4

Entry 8:
## RbCuTe2PbSe (PBE)

Data for a relaxed RbCuTe2PbSe crystal.

Uncorrected energy in eV per atom: -3.430
Crystal system: orthorhombic

Unit cell a=4.356 b=13.822 c=12.174 alpha=90.00 beta=90.00 gamma=90.00
Space group Cmcm (No. 63)
Symmetry-distinct sites (fractional):
Rb (0.000, 0.208, 0.250) x4
Cu (0.000, 0.073, 0.750) x4
Te (0.000, 0.162, 0.549) x8
Pb (0.000, 0.500, 0.000) x4
Se (0.000, 0.491, 0.750) x4

Entry 9:
## RbCuTePbSe2 (PBE)

Data for a relaxed RbCuTePbSe2 crystal.

Uncorrected energy in eV per atom: -3.489
Crystal system: orthorhombic

Unit cell a=4.046 b=16.232 c=11.725 alpha=90.00 beta=90.00 gamma=90.00
Space group Cmcm (No. 63)
Symmetry-distinct sites (fractional):
Rb (0.000, 0.246, 0.250) x4
Cu (0.000, 0.454, 0.750) x4
Te (0.000, 0.061, 0.750) x4
Pb (0.000, 0.000, 0.000) x4
Se (0.000, 0.380, 0.572) x8

Entry 10:
## RbCuTe3Pb (PBE)

Data for a relaxed RbCuTe3Pb crystal.

Uncorrected energy in eV per atom: -3.313
Crystal system: orthorhombic

Unit cell a=4.368 b=14.608 c=12.449 alpha=90.00 beta=90.00 gamma=90.00
Space group Cmcm (No. 63)
Symmetry-distinct sites (fractional):
Rb (0.000, 0.217, 0.250) x4
Cu (0.000, 0.083, 0.750) x4
Te (0.000, 0.156, 0.554) x8
Te (0.000, 0.488, 0.750) x4
Pb (0.000, 0.500, 0.000) x4

Entry 11:
## RbCu3Te4Pb (PBE)

Data for a relaxed RbCu3Te4Pb crystal.

Uncorrected energy in eV per atom: -3.041
Crystal system: cubic

Unit cell a=6.858 b=6.858 c=6.858 alpha=90.00 beta=90.00 gamma=90.00
Space group P-43m (No. 215)
Symmetry-distinct sites (fractional):
Rb (0.000, 0.000, 0.000) x1
Cu (0.000, 0.500, 0.500) x3
Te (0.269, 0.269, 0.269) x4
Pb (0.500, 0.500, 0.500) x1

Entry 12:
## TaCuRePb (PBE)

Data for a relaxed TaCuRePb crystal.

Relative energy among the computed polymorphs in meV/atom: 0.0
Uncorrected energy in eV per atom: -7.369
Crystal system: cubic

Unit cell a=6.506 b=6.506 c=6.506 alpha=90.00 beta=90.00 gamma=90.00
Space group F-43m (No. 216)
Symmetry-distinct sites (fractional):
Ta (0.000, 0.000, 0.000) x4
Cu (0.250, 0.250, 0.750) x4
Re (0.250, 0.250, 0.250) x4
Pb (0.000, 0.000, 0.500) x4